The following is a DFT calculation (PBE with a Hubbard U) of Mn2ZnSbO4 after structural relaxation.

Values from the calculation:
E_tot   -49.45 eV per formula unit
V   13.33 Å³ per atom

a = 8.508 Å, b = 9.385 Å, c = 6.407 Å
α = 90.00°, β = 123.50°, γ = 90.00°
Space group C2/c (No. 15)
Inequivalent atoms, fractional coordinates:
Mn 0.000 0.000 0.000 x4
Mn 0.250 0.250 0.000 x4
Zn 0.250 0.250 0.500 x4
Sb 0.000 0.500 0.000 x4
O 0.056 0.256 0.560 x8
O 0.201 0.022 0.900 x8